Entry 1:
Zr2Al2Cu3Au: optimized geometry, PBE.

## Properties
final energy: -0.1940 Ha/atom
space group: No. 156

Lattice parameters (Å, degrees): 4.2886 4.2886 8.2297 90.00 90.00 120.00
Last column: nearest neighbours and their distance in Å.
Atoms (fractional coordinates):
Zr 0.0000 0.0000 0.0000  7 Cu 2.68-2.82, 1 Au 2.86
Zr 0.3333 0.6667 0.4822  5 Cu 2.73-2.92, 3 Au 2.85
Al 0.6667 0.3333 0.2376  6 Cu 2.58
Al 0.6667 0.3333 0.7640  3 Cu 2.55, 3 Au 2.64
Cu 0.0000 0.0000 0.3255  3 Al 2.58, 4 Zr 2.68-2.79, 1 Au 2.69, 3 Cu 2.86
Cu 0.3333 0.6667 0.1508  3 Al 2.58, 4 Cu 2.58-2.86, 4 Zr 2.73-2.77
Cu 0.3333 0.6667 0.8372  3 Al 2.55, 1 Cu 2.58, 3 Zr 2.82
Au 0.0000 0.0000 0.6529  3 Al 2.64, 4 Cu 2.69-2.90, 4 Zr 2.85-2.86

=====

Entry 2:
CdBNO: optimized geometry, PBE.

## Properties
excess energy over the best structure of this formula in the dataset: 172 meV per atom
final energy: -0.2168 Ha/atom
space group: No. 26

Lattice parameters (Å, degrees): 2.9270 5.6701 4.8896 90.00 90.00 90.00
Last column: nearest neighbours and their distance in Å.
Atoms (fractional coordinates):
Cd 0.0000 0.1726 0.0000  2 N 2.21, 2 O 2.24-2.25
Cd 0.0000 0.8274 0.5000  2 N 2.21, 2 O 2.24-2.25
B 0.5000 0.3876 0.5225  2 N 1.46-1.48
B 0.5000 0.6124 0.0225  2 N 1.46-1.48
N 0.5000 0.4218 0.8221  2 B 1.46-1.48
N 0.5000 0.5782 0.3221  2 B 1.46-1.48
O 0.0000 0.2200 0.4561  2 B 1.77
O 0.0000 0.7800 0.9561  2 B 1.77

=====

Entry 3:
Y4ErTm2Ni2Te2: optimized geometry, PBE.

## Properties
excess energy over the best structure of this formula in the dataset: 0 meV per atom
final energy: -0.2149 Ha/atom
space group: No. 44

Lattice parameters (Å, degrees): 9.3459 9.3459 9.3459 156.18 67.01 118.41
Last column: nearest neighbours and their distance in Å.
Atoms (fractional coordinates):
Y 0.1315 0.0000 0.1315  2 Ni 2.81, 1 Te 3.13
Y 0.2057 0.8521 0.3536  2 Ni 2.85, 2 Te 3.15
Y 0.4985 0.8521 0.6464  2 Ni 2.85, 2 Te 3.15
Y 0.8685 0.0000 0.8685  2 Ni 2.81, 1 Te 3.13
Er 0.5833 0.5833 0.0000  3 Te 3.16-3.21
Tm 0.5167 0.2016 0.3152  2 Ni 2.76
Tm 0.8864 0.2016 0.6848  2 Ni 2.76
Ni 0.2759 0.5133 0.7627  2 Tm 2.76, 4 Y 2.81-2.85
Ni 0.7506 0.5133 0.2373  2 Tm 2.76, 4 Y 2.81-2.85
Te 0.2476 0.2476 0.0000  6 Y 3.13-3.15, 1 Er 3.21
Te 0.8448 0.3448 0.5000  2 Er 3.16, 4 Y 3.18, 2 Tm 3.19

=====

Entry 4:
CsHfAgS3: optimized geometry, PBE.

## Properties
final energy: -0.2014 Ha/atom
space group: No. 63

Lattice parameters (Å, degrees): 8.0850 8.0850 10.1358 90.00 90.00 152.43
Last column: nearest neighbours and their distance in Å.
Atoms (fractional coordinates):
Cs 0.2418 0.7582 0.7500  8 S 3.48-3.76, 2 Ag 3.79, 2 Cs 3.85
Cs 0.7582 0.2418 0.2500  8 S 3.48-3.76, 2 Ag 3.79, 2 Cs 3.85
Hf 0.5000 0.5000 0.0000  6 S 2.61-2.67
Hf 0.5000 0.5000 0.5000  6 S 2.61-2.67
Ag 0.0505 0.9495 0.2500  4 S 2.45-2.53
Ag 0.9495 0.0505 0.7500  4 S 2.45-2.53
S 0.1109 0.8891 0.0271  1 Ag 2.45, 2 Hf 2.61
S 0.1109 0.8891 0.4729  1 Ag 2.45, 2 Hf 2.61
S 0.4459 0.5541 0.2500  2 Ag 2.53, 2 Hf 2.67
S 0.5541 0.4459 0.7500  2 Ag 2.53, 2 Hf 2.67
S 0.8891 0.1109 0.5271  1 Ag 2.45, 2 Hf 2.61
S 0.8891 0.1109 0.9729  1 Ag 2.45, 2 Hf 2.61

=====

Entry 5:
TbPrSbCl2: optimized geometry, PBE.

## Properties
final energy: -0.1878 Ha/atom
space group: No. 156

Lattice parameters (Å, degrees): 4.2605 4.2605 10.6953 90.00 90.00 120.00
Last column: nearest neighbours and their distance in Å.
Atoms (fractional coordinates):
Tb 0.0000 0.0000 0.0000  3 Cl 2.88, 3 Sb 3.00
Pr 0.3333 0.6667 0.3387  3 Cl 2.94, 3 Sb 3.11
Sb 0.6667 0.3333 0.1613  3 Tb 3.00, 3 Pr 3.11
Cl 0.0000 0.0000 0.4894  3 Pr 2.94
Cl 0.3333 0.6667 0.8603  3 Tb 2.88

=====

Entry 6:
MoPdPt: optimized geometry, PBE.

## Properties
DFT formation energy: -0.25 eV/atom
excess energy over the best structure of this formula in the dataset: 8 meV per atom
final energy: -0.2796 Ha/atom
space group: No. 47

Lattice parameters (Å, degrees): 2.7730 3.9673 8.3201 90.00 90.00 90.00
Last column: nearest neighbours and their distance in Å.
Atoms (fractional coordinates):
Mo 0.0000 0.0000 0.0000  2 Mo 2.77, 8 Pt 2.79, 2 Pd 2.80
Mo 0.5000 0.5000 0.5000  2 Mo 2.77, 8 Pd 2.77, 2 Pt 2.78
Pd 0.0000 0.0000 0.3369  3 Pd 2.71-2.77, 5 Mo 2.77-2.80, 4 Pt 2.81
Pd 0.0000 0.0000 0.6631  3 Pd 2.71-2.77, 5 Mo 2.77-2.80, 4 Pt 2.81
Pt 0.5000 0.5000 0.1658  3 Pt 2.76-2.77, 5 Mo 2.78-2.79, 4 Pd 2.81
Pt 0.5000 0.5000 0.8342  3 Pt 2.76-2.77, 5 Mo 2.78-2.79, 4 Pd 2.81

=====

Entry 7:
LaMg4GaNi2: optimized geometry, PBE.

## Properties
final energy: -0.1124 Ha/atom
space group: No. 38

Lattice parameters (Å, degrees): 7.3046 3.8746 15.2192 90.00 90.00 90.00
Last column: nearest neighbours and their distance in Å.
Atoms (fractional coordinates):
La 0.0000 0.0000 0.0000  2 Ni 2.58
La 0.0000 0.5000 0.5000  2 Ni 2.58
Mg 0.2793 0.0000 0.3342  1 Ni 2.86, 2 Ga 2.88, 2 Mg 3.17
Mg 0.2793 0.5000 0.8342  1 Ni 2.86, 2 Ga 2.88, 2 Mg 3.17
Mg 0.3072 0.0000 0.6700  1 Ni 2.41
Mg 0.3072 0.5000 0.1700  1 Ni 2.41
Mg 0.6928 0.0000 0.6700  1 Ni 2.41
Mg 0.6928 0.5000 0.1700  1 Ni 2.41
Mg 0.7207 0.0000 0.3342  1 Ni 2.86, 2 Ga 2.88, 2 Mg 3.17
Mg 0.7207 0.5000 0.8342  1 Ni 2.86, 2 Ga 2.88, 2 Mg 3.17
Ga 0.0000 0.0000 0.7950  2 Ni 2.40
Ga 0.0000 0.5000 0.2950  2 Ni 2.40
Ni 0.0000 0.0000 0.2021  2 Ni 2.37, 2 Ga 2.40
Ni 0.0000 0.0000 0.6121  2 Ni 2.37, 2 Mg 2.41, 2 La 2.58
Ni 0.0000 0.5000 0.1121  2 Ni 2.37, 2 Mg 2.41, 2 La 2.58
Ni 0.0000 0.5000 0.7021  2 Ni 2.37, 2 Ga 2.40

=====

Entry 8:
Nd3Mg3AgAu2: optimized geometry, PBE.

## Properties
final energy: -0.1351 Ha/atom
space group: No. 189

Lattice parameters (Å, degrees): 7.7868 7.7868 4.2321 90.00 90.00 120.00
Last column: nearest neighbours and their distance in Å.
Atoms (fractional coordinates):
Nd 0.0000 0.4180 0.0000  4 Au 3.15, 1 Ag 3.26, 2 Mg 3.39
Nd 0.4180 0.0000 0.0000  4 Au 3.15, 1 Ag 3.26, 2 Mg 3.39
Nd 0.5820 0.5820 0.0000  4 Au 3.15, 1 Ag 3.26, 2 Mg 3.39
Mg 0.0000 0.7574 0.5000  2 Ag 2.84, 2 Au 3.01
Mg 0.2426 0.2426 0.5000  2 Ag 2.84, 2 Au 3.01
Mg 0.7574 0.0000 0.5000  2 Ag 2.84, 2 Au 3.01
Ag 0.0000 0.0000 0.0000  6 Mg 2.84
Au 0.3333 0.6667 0.5000  3 Mg 3.01, 6 Nd 3.15
Au 0.6667 0.3333 0.5000  3 Mg 3.01, 6 Nd 3.15

=====

Entry 9:
YAs2W: optimized geometry, PBE.

## Properties
final energy: -0.2493 Ha/atom
space group: No. 216

Lattice parameters (Å, degrees): 6.7379 6.7379 6.7379 90.00 90.00 90.00
Last column: nearest neighbours and their distance in Å.
Atoms (fractional coordinates):
Y 0.0000 0.0000 0.0000  4 As 2.92, 4 W 2.92
Y 0.0000 0.5000 0.5000  4 As 2.92, 4 W 2.92
Y 0.5000 0.0000 0.5000  4 As 2.92, 4 W 2.92
Y 0.5000 0.5000 0.0000  4 As 2.92, 4 W 2.92
As 0.0000 0.0000 0.5000  4 As 2.92, 4 W 2.92
As 0.0000 0.5000 0.0000  4 As 2.92, 4 W 2.92
As 0.2500 0.2500 0.2500  4 As 2.92, 4 Y 2.92
As 0.2500 0.7500 0.7500  4 As 2.92, 4 Y 2.92
As 0.5000 0.0000 0.0000  4 As 2.92, 4 W 2.92
As 0.5000 0.5000 0.5000  4 As 2.92, 4 W 2.92
As 0.7500 0.2500 0.7500  4 As 2.92, 4 Y 2.92
As 0.7500 0.7500 0.2500  4 As 2.92, 4 Y 2.92
W 0.2500 0.2500 0.7500  4 As 2.92, 4 Y 2.92
W 0.2500 0.7500 0.2500  4 As 2.92, 4 Y 2.92
W 0.7500 0.2500 0.2500  4 As 2.92, 4 Y 2.92
W 0.7500 0.7500 0.7500  4 Y 2.92, 4 As 2.92

=====

Entry 10:
CuH8C12IN4: optimized geometry, PBE.

## Properties
excess energy over the best structure of this formula in the dataset: 9 meV per atom
final energy: -0.2458 Ha/atom
space group: No. 2

Lattice parameters (Å, degrees): 7.9724 8.6674 9.3982 92.96 100.93 99.55
Last column: nearest neighbours and their distance in Å.
Atoms (fractional coordinates):
Cu 0.0898 0.4378 0.1069  2 N 2.02-2.04
Cu 0.9102 0.5622 0.8931  2 N 2.02-2.04
H 0.0120 0.5725 0.3779  1 C 1.09
H 0.0743 0.1182 0.7590  1 C 1.09
H 0.1204 0.8523 0.8292  1 C 1.09
H 0.1695 0.7527 0.5952  1 C 1.09
H 0.2116 0.8020 0.2236  1 C 1.08
H 0.3719 0.2574 0.0773  1 C 1.09
H 0.4674 0.5559 0.2280  1 C 1.09
H 0.4938 0.8318 0.6302  1 C 1.08
H 0.5062 0.1682 0.3698  1 C 1.08
H 0.5326 0.4441 0.7720  1 C 1.09
H 0.6281 0.7426 0.9227  1 C 1.09
H 0.7884 0.1980 0.7764  1 C 1.08
H 0.8305 0.2473 0.4048  1 C 1.09
H 0.8796 0.1477 0.1708  1 C 1.09
H 0.9257 0.8818 0.2410  1 C 1.09
H 0.9880 0.4275 0.6221  1 C 1.09
C 0.0025 0.1092 0.1682  1 H 1.09
C 0.0282 0.9611 0.2064  1 H 1.09
C 0.1529 0.6081 0.3984  1 H 1.09
C 0.1859 0.9175 0.1984  1 H 1.08
C 0.2411 0.7083 0.5193  1 H 1.09
C 0.2769 0.1721 0.1155  1 H 1.09
C 0.3115 0.2639 0.5461  1 N 1.17
C 0.3132 0.0252 0.1541  3 C 1.40-1.42
C 0.4061 0.5977 0.3136  1 H 1.09
C 0.4196 0.7532 0.5379  1 H 1.08
C 0.4798 0.9850 0.1585  1 N 1.17
C 0.4954 0.3047 0.5655  3 C 1.40-1.42
C 0.5046 0.6953 0.4345  3 C 1.40-1.42
C 0.5202 0.0150 0.8415  1 N 1.17
C 0.5804 0.2468 0.4621  1 H 1.08
C 0.5939 0.4023 0.6864  1 H 1.09
C 0.6868 0.9748 0.8459  3 C 1.40-1.42
C 0.6885 0.7361 0.4539  1 N 1.17
C 0.7231 0.8279 0.8845  1 H 1.09
C 0.7589 0.2917 0.4807  1 H 1.09
C 0.8141 0.0825 0.8016  1 H 1.08
C 0.8471 0.3919 0.6016  1 H 1.09
C 0.9718 0.0389 0.7936  1 H 1.09
C 0.9975 0.8908 0.8318  1 H 1.09
I 0.2422 0.5515 0.9003  2 Cu 2.63-2.65
I 0.7578 0.4485 0.0997  2 Cu 2.63-2.65
N 0.1235 0.2132 0.1230  2 C 1.34-1.35
N 0.1603 0.2306 0.5238  1 C 1.17
N 0.2326 0.5558 0.2955  2 C 1.35
N 0.3831 0.0504 0.8256  1 C 1.17
N 0.6169 0.9496 0.1744  1 C 1.17
N 0.7674 0.4442 0.7045  2 C 1.35
N 0.8397 0.7694 0.4762  1 C 1.17
N 0.8765 0.7868 0.8770  2 C 1.34-1.35

=====

Entry 11:
SrHoAgS3: optimized geometry, PBE.

## Properties
final energy: -0.1909 Ha/atom
space group: No. 12

Lattice parameters (Å, degrees): 8.8718 8.8718 8.3687 102.99 102.99 25.85
Last column: nearest neighbours and their distance in Å.
Atoms (fractional coordinates):
Sr 0.1331 0.1331 0.0720  7 S 2.99-3.15
Sr 0.8669 0.8669 0.9280  7 S 2.99-3.15
Ho 0.1649 0.1649 0.5876  6 S 2.75-2.78
Ho 0.8351 0.8351 0.4124  6 S 2.75-2.78
Ag 0.4774 0.4774 0.2885  4 S 2.53-2.68
Ag 0.5226 0.5226 0.7115  4 S 2.53-2.68
S 0.0000 0.0000 0.5000  4 Ag 2.63, 2 Ho 2.78
S 0.3188 0.3188 0.1804  1 Ag 2.68, 2 Ho 2.75
S 0.3276 0.3276 0.6365  3 Ho 2.75
S 0.5000 0.5000 0.0000  2 Ag 2.53
S 0.6724 0.6724 0.3635  3 Ho 2.75
S 0.6812 0.6812 0.8196  1 Ag 2.68, 2 Ho 2.75